[1]
The following is a GGA-PBE calculation of a relaxed GdTiSn2 crystal, from Alexandria via LeMat-Bulk.

Properties
Offset from the most stable computed form ... 0.0 meV per atom
Density ... 7.8 g cm⁻³
Total magnetization ... 7.340 μB per cell
Formation energy ... -369 meV per atom

Geometry as CIF:
```
data_GdTiSn2
_space_group_name_H-M_alt 'P 4/m m m'
_space_group_IT_number 123
_space_group_name_Hall '-P 4 2'
_cell_length_a 3.734
_cell_length_b 3.734
_cell_length_c 6.742
_cell_angle_alpha 90.00
_cell_angle_beta 90.00
_cell_angle_gamma 90.00
loop_
_atom_site_label
_atom_site_fract_x
_atom_site_fract_y
_atom_site_fract_z
Gd1 0.000 0.000 0.000
Ti1 0.000 0.000 0.500
Sn1 0.500 0.500 0.286
```

=====

[2]
The following is a GGA-PBE calculation of a relaxed TaBeV2Sn crystal, from Alexandria via LeMat-Bulk.

Properties
Density ... 5.9 g cm⁻³
Total magnetization ... 2.686 μB per cell
Formation energy ... 1662 meV per atom

Geometry as CIF:
```
data_TaBeV2Sn
_space_group_name_H-M_alt 'P 4/m m m'
_space_group_IT_number 123
_space_group_name_Hall '-P 4 2'
_cell_length_a 4.679
_cell_length_b 4.679
_cell_length_c 5.266
_cell_angle_alpha 90.00
_cell_angle_beta 90.00
_cell_angle_gamma 90.00
loop_
_atom_site_label
_atom_site_fract_x
_atom_site_fract_y
_atom_site_fract_z
Ta1 0.000 0.000 0.000
Be1 0.500 0.500 0.500
V1 0.000 0.500 0.000
Sn1 0.000 0.000 0.500
```

=====

[3]
The following is a GGA-PBE calculation of a relaxed Pm6Nd2Y crystal, from Alexandria via LeMat-Bulk.

Properties
Offset from the most stable computed form ... 0.0 meV per atom
Density ... 6.7 g cm⁻³
Total magnetization ... 0.000 μB per cell
Formation energy ... 51 meV per atom

Geometry as CIF:
```
data_Pm6Nd2Y
_space_group_name_H-M_alt 'C m m m'
_space_group_IT_number 65
_space_group_name_Hall '-C 2 2'
_cell_length_a 9.956
_cell_length_b 17.304
_cell_length_c 3.570
_cell_angle_alpha 90.00
_cell_angle_beta 90.00
_cell_angle_gamma 90.00
loop_
_atom_site_label
_atom_site_fract_x
_atom_site_fract_y
_atom_site_fract_z
Pm1 0.166 0.166 0.000
Pm2 0.169 0.500 0.000
Nd1 0.000 0.333 0.500
Y1 0.000 0.000 0.500
```

=====

[4]
The following is a GGA-PBE calculation of a relaxed HoTmCdAu crystal, from Alexandria via LeMat-Bulk.

Properties
Offset from the most stable computed form ... 0.0 meV per atom
Density ... 11.1 g cm⁻³
Total magnetization ... 0.000 μB per cell
Formation energy ... -600 meV per atom

Geometry as CIF:
```
data_HoTmCdAu
_space_group_name_H-M_alt 'P 4 m m'
_space_group_IT_number 99
_cell_length_a 3.653
_cell_length_b 3.653
_cell_length_c 7.204
_cell_angle_alpha 90.00
_cell_angle_beta 90.00
_cell_angle_gamma 90.00
loop_
_space_group_symop_operation_xyz
'x,y,z'
'-y,x,z'
'-x,-y,z'
'y,-x,z'
'-x,y,z'
'y,x,z'
'x,-y,z'
'-y,-x,z'
loop_
_atom_site_label
_atom_site_fract_x
_atom_site_fract_y
_atom_site_fract_z
Ho1 0.000 0.000 0.000
Tm1 0.000 0.000 0.526
Cd1 0.500 0.500 0.267
Au1 0.500 0.500 0.757
```

=====

[5]
The following is a GGA-PBE calculation of a relaxed Np2SnRh6 crystal, from Alexandria via LeMat-Bulk.

Properties
Density ... 12.0 g cm⁻³
Total magnetization ... 7.989 μB per cell
Formation energy ... -234 meV per atom

Geometry as CIF:
```
data_Np2SnRh6
_space_group_name_H-M_alt 'I m m m'
_space_group_IT_number 71
_space_group_name_Hall '-I 2 2'
_cell_length_a 4.475
_cell_length_b 7.280
_cell_length_c 10.249
_cell_angle_alpha 90.00
_cell_angle_beta 90.00
_cell_angle_gamma 90.00
loop_
_atom_site_label
_atom_site_fract_x
_atom_site_fract_y
_atom_site_fract_z
Np1 0.000 0.000 0.172
Sn1 0.000 0.000 0.500
Rh1 0.000 0.270 0.000
Rh2 0.000 0.292 0.335
```

=====

[6]
The following is a GGA-PBE calculation of a relaxed ZrBe4Ni crystal, from Alexandria via LeMat-Bulk.

Properties
Offset from the most stable computed form ... 210.6 meV per atom
Density ... 4.2 g cm⁻³
Total magnetization ... 0.000 μB per cell
Formation energy ... 84 meV per atom

Geometry as CIF:
```
data_ZrBe4Ni
_space_group_name_H-M_alt 'P -1'
_space_group_IT_number 2
_cell_length_a 4.103
_cell_length_b 4.114
_cell_length_c 5.289
_cell_angle_alpha 73.51
_cell_angle_beta 74.09
_cell_angle_gamma 61.33
loop_
_space_group_symop_operation_xyz
'x,y,z'
'-x,-y,-z'
loop_
_atom_site_label
_atom_site_fract_x
_atom_site_fract_y
_atom_site_fract_z
Zr1 0.000 0.000 0.000
Be1 0.000 0.500 0.500
Be2 0.435 0.435 0.707
Be3 0.500 0.000 0.500
Ni1 0.000 0.000 0.500
```

=====

[7]
The following is a GGA-PBE calculation of a relaxed Ag2Sb2Pd3 crystal, from Alexandria via LeMat-Bulk.

Properties
Raw formation energy ... -0.268 eV per atom
Density ... 9.9 g cm⁻³
Total magnetization ... 0.000 μB per cell

Geometry as CIF:
```
data_Ag2Sb2Pd3
_space_group_name_H-M_alt 'R -3 m'
_space_group_IT_number 166
_space_group_name_Hall '-R 3 2"'
_cell_length_a 4.6357
_cell_length_b 4.6357
_cell_length_c 21.0840
_cell_angle_alpha 90.00
_cell_angle_beta 90.00
_cell_angle_gamma 120.00
loop_
_atom_site_label
_atom_site_fract_x
_atom_site_fract_y
_atom_site_fract_z
Ag1 0.0000 0.0000 0.1383
Sb1 0.0000 0.0000 0.4047
Pd1 0.0000 0.0000 0.0000
Pd2 0.0000 0.0000 0.2740
```

=====

[8]
The following is a GGA-PBE calculation of a relaxed PaTlAgPd crystal, from Alexandria via LeMat-Bulk.

Properties
Density ... 12.6 g cm⁻³
Total magnetization ... 0.001 μB per cell
Formation energy ... -104 meV per atom

Geometry as CIF:
```
data_PaTlAgPd
_space_group_name_H-M_alt 'F -4 3 m'
_space_group_IT_number 216
_space_group_name_Hall 'F -4 2 3'
_cell_length_a 6.993
_cell_length_b 6.993
_cell_length_c 6.993
_cell_angle_alpha 90.00
_cell_angle_beta 90.00
_cell_angle_gamma 90.00
loop_
_atom_site_label
_atom_site_fract_x
_atom_site_fract_y
_atom_site_fract_z
Pa1 0.000 0.000 0.000
Tl1 0.000 0.000 0.500
Ag1 0.250 0.250 0.750
Pd1 0.250 0.250 0.250
```

=====

[9]
The following is a GGA-PBE calculation of a relaxed TaAgMo2 crystal, from Alexandria via LeMat-Bulk.

Properties
Offset from the most stable computed form ... 218.6 meV per atom
Density ... 11.8 g cm⁻³
Total magnetization ... 0.000 μB per cell
Formation energy ... 390 meV per atom

Geometry as CIF:
```
data_TaAgMo2
_space_group_name_H-M_alt 'I m m m'
_space_group_IT_number 71
_space_group_name_Hall '-I 2 2'
_cell_length_a 3.362
_cell_length_b 4.486
_cell_length_c 8.964
_cell_angle_alpha 90.00
_cell_angle_beta 90.00
_cell_angle_gamma 90.00
loop_
_atom_site_label
_atom_site_fract_x
_atom_site_fract_y
_atom_site_fract_z
Ta1 0.000 0.000 0.000
Ag1 0.000 0.000 0.500
Mo1 0.000 0.500 0.262
```

=====

[10]
The following is a GGA-PBE calculation of a relaxed NbP2Au2 crystal, from Alexandria via LeMat-Bulk.

Properties
Offset from the most stable computed form ... 0.0 meV per atom
Density ... 10.8 g cm⁻³
Total magnetization ... 0.000 μB per cell
Formation energy ... 23 meV per atom

Geometry as CIF:
```
data_NbP2Au2
_space_group_name_H-M_alt 'P 4/m b m'
_space_group_IT_number 127
_space_group_name_Hall '-P 4 2ab'
_cell_length_a 6.817
_cell_length_b 6.817
_cell_length_c 3.630
_cell_angle_alpha 90.00
_cell_angle_beta 90.00
_cell_angle_gamma 90.00
loop_
_atom_site_label
_atom_site_fract_x
_atom_site_fract_y
_atom_site_fract_z
Nb1 0.000 0.000 0.000
P1 0.163 0.337 0.000
Au1 0.150 0.650 0.500
```

=====

[11]
The following is a GGA-PBE calculation of a relaxed Y2TmAl2Pd5 crystal, from Alexandria via LeMat-Bulk.

Properties
Density ... 8.1 g cm⁻³
Total magnetization ... 0.000 μB per cell
Formation energy ... -879 meV per atom

Geometry as CIF:
```
data_Y2TmAl2Pd5
_space_group_name_H-M_alt 'P 4/m b m'
_space_group_IT_number 127
_space_group_name_Hall '-P 4 2ab'
_cell_length_a 10.157
_cell_length_b 10.157
_cell_length_c 3.710
_cell_angle_alpha 90.00
_cell_angle_beta 90.00
_cell_angle_gamma 90.00
loop_
_atom_site_label
_atom_site_fract_x
_atom_site_fract_y
_atom_site_fract_z
Y1 0.176 0.324 0.000
Tm1 0.000 0.000 0.000
Al1 0.120 0.620 0.000
Pd1 0.000 0.500 0.500
Pd2 0.066 0.785 0.500
```

=====

[12]
The following is a GGA-PBE calculation of a relaxed AlTcSb2H crystal, from Alexandria via LeMat-Bulk.

Properties
VASP energy ... -4.58 eV per atom
Density ... 7.5 g cm⁻³
Total magnetization ... 0.000 μB per cell

Geometry as CIF:
```
data_AlTcSb2H
_space_group_name_H-M_alt 'P 4/m m m'
_space_group_IT_number 123
_space_group_name_Hall '-P 4 2'
_cell_length_a 4.832
_cell_length_b 4.832
_cell_length_c 3.498
_cell_angle_alpha 90.00
_cell_angle_beta 90.00
_cell_angle_gamma 90.00
loop_
_atom_site_label
_atom_site_fract_x
_atom_site_fract_y
_atom_site_fract_z
Al1 0.000 0.000 0.000
Tc1 0.500 0.500 0.000
Sb1 0.000 0.500 0.500
H1 0.000 0.000 0.500
```